[1]
Here is NbSbPI2 after structural relaxation from Alexandria via LeMat-Bulk. Energies are from GGA-PBEsol.

Unit cell a=5.334 b=5.334 c=5.542 alpha=90.00 beta=90.00 gamma=90.00
Sites, in units of the cell vectors:
Nb1 0.000 0.000 0.000
Sb1 0.000 0.000 0.500
P1 0.500 0.500 0.500
I1 0.000 0.500 0.000
I2 0.500 0.000 0.000

Summary:
As for the space group: No. 123. The calculation puts the uncorrected formation energy at 0.781 eV per atom.

[2]
Here is LiTiO2 after structural relaxation from Alexandria via LeMat-Bulk. Energies are from GGA-PBEsol.

Unit cell a=5.063 b=5.063 c=5.063 alpha=133.09 beta=133.09 gamma=68.51
Sites, in units of the cell vectors:
Li1 0.375 0.625 0.750
Li2 0.625 0.375 0.250
Ti1 0.125 0.875 0.250
Ti2 0.875 0.125 0.750
O1 0.125 0.375 0.750
O2 0.375 0.125 0.250
O3 0.625 0.875 0.750
O4 0.875 0.625 0.250

Summary:
As for the space group: No. 141. The calculation puts the uncorrected formation energy at -2.701 eV per atom.

[3]
Here is Al3GaW after structural relaxation from Alexandria via LeMat-Bulk. Energies are from GGA-PBEsol.

Unit cell a=4.580 b=4.580 c=4.580 alpha=90.00 beta=90.00 gamma=90.00
Sites, in units of the cell vectors:
Al1 0.000 0.000 0.500
Al2 0.000 0.500 0.000
Al3 0.500 0.000 0.000
Ga1 0.000 0.000 0.000
W1 0.500 0.500 0.500

Summary:
The energy of formation comes out at 6.9 eV per formula unit. As for the space group: No. 221.

[4]
Here is TaCd after structural relaxation from Alexandria via LeMat-Bulk. Energies are from GGA-PBEsol.

Unit cell a=6.079 b=6.079 c=4.443 alpha=90.00 beta=90.00 gamma=152.94
Sites, in units of the cell vectors:
Ta1 0.190 0.810 0.750
Ta2 0.810 0.190 0.250
Cd1 0.434 0.566 0.750
Cd2 0.566 0.434 0.250

Summary:
The energy of formation comes out at 0.6 eV per formula unit. As for the space group: No. 63.

- Which formula does entry 4 have?
  TaCd